(1)
{
  "formula": "NaCrSbI2",
  "functional": "meta-GGA SCAN",
  "state": "single point on PBEsol structure",
  "lattice_angstrom": [[5.079, 0.000, 0.000], [0.000, 5.633, 0.000], [0.000, 0.000, 5.633]],
  "species": ["Cr", "Sb", "I", "I", "Na"],
  "frac_coords": [[0.000, 0.000, 0.000], [0.500, 0.000, 0.000], [0.000, 0.500, 0.000], [0.000, 0.000, 0.500], [0.500, 0.500, 0.500]],
  "formation_energy_uncorrected_mev_per_atom": -264,
  "volume_a3_per_fu": 161.13,
  "mass_density_g_cm3": 4.6
}

---

(2)
{
  "formula": "La2SiI2O4",
  "functional": "meta-GGA SCAN",
  "state": "single point on PBEsol structure",
  "lattice_angstrom": [[-3.870, -7.384, -0.026], [4.930, -2.606, 6.515], [-8.970, 6.768, 4.234]],
  "species": ["I", "I", "I", "I", "I", "I", "I", "I", "Si", "Si", "Si", "Si", "O", "O", "O", "O", "O", "O", "O", "O", "O", "O", "O", "O", "O", "O", "O", "O", "La", "La", "La", "La", "La", "La", "La", "La"],
  "frac_coords": [[0.361, 0.464, 0.666], [0.009, 0.037, 0.334], [0.512, 0.093, 0.359], [0.488, 0.907, 0.641], [0.639, 0.536, 0.334], [0.853, 0.407, 0.641], [0.991, 0.963, 0.666], [0.147, 0.593, 0.359], [0.559, 0.693, 0.978], [0.441, 0.307, 0.022], [0.069, 0.806, 0.022], [0.931, 0.194, 0.978], [0.377, 0.618, 0.970], [0.623, 0.382, 0.030], [0.767, 0.079, 0.907], [0.371, 0.236, 0.877], [0.074, 0.736, 0.877], [0.926, 0.264, 0.123], [0.629, 0.764, 0.123], [0.692, 0.579, 0.906], [0.084, 0.646, 0.068], [0.308, 0.421, 0.094], [0.916, 0.354, 0.932], [0.109, 0.118, 0.970], [0.891, 0.882, 0.030], [0.233, 0.921, 0.093], [0.553, 0.854, 0.932], [0.447, 0.146, 0.068], [0.153, 0.435, 0.868], [0.711, 0.065, 0.131], [0.777, 0.784, 0.811], [0.640, 0.285, 0.811], [0.223, 0.216, 0.189], [0.360, 0.715, 0.189], [0.289, 0.935, 0.869], [0.847, 0.565, 0.132]],
  "formation_energy_uncorrected_mev_per_atom": -3057,
  "volume_a3_per_fu": 199.69,
  "mass_density_g_cm3": 5.2
}

---

(3)
{
  "formula": "Sc6Ga16Ru7",
  "functional": "meta-GGA SCAN",
  "state": "single point on PBEsol structure",
  "lattice_angstrom": [[8.661, 0.000, 0.000], [4.331, 7.501, 0.000], [4.331, 2.500, 7.072]],
  "species": ["Ga", "Ga", "Ga", "Ga", "Ga", "Ga", "Ga", "Ga", "Ga", "Ga", "Ga", "Ga", "Ga", "Ga", "Ga", "Ga", "Sc", "Sc", "Sc", "Sc", "Sc", "Sc", "Ru", "Ru", "Ru", "Ru", "Ru", "Ru", "Ru"],
  "frac_coords": [[0.876, 0.876, 0.372], [0.655, 0.035, 0.655], [0.124, 0.124, 0.124], [0.628, 0.124, 0.124], [0.876, 0.876, 0.876], [0.372, 0.876, 0.876], [0.345, 0.965, 0.345], [0.655, 0.655, 0.655], [0.035, 0.655, 0.655], [0.345, 0.345, 0.965], [0.124, 0.628, 0.124], [0.655, 0.655, 0.035], [0.876, 0.372, 0.876], [0.124, 0.124, 0.628], [0.965, 0.345, 0.345], [0.345, 0.345, 0.345], [0.723, 0.277, 0.277], [0.277, 0.277, 0.723], [0.277, 0.723, 0.277], [0.723, 0.277, 0.723], [0.723, 0.723, 0.277], [0.277, 0.723, 0.723], [0.500, 0.000, 0.000], [0.000, 0.500, 0.000], [0.000, 0.000, 0.500], [0.500, 0.500, 0.000], [0.500, 0.000, 0.500], [0.000, 0.000, 0.000], [0.000, 0.500, 0.500]],
  "ef_mev_per_atom": -626,
  "volume_a3_per_fu": 459.45,
  "mass_density_g_cm3": 7.6
}

---

(4)
{
  "formula": "LaBeTl2Ga",
  "functional": "meta-GGA SCAN",
  "state": "single point on PBEsol structure",
  "lattice_angstrom": [[4.640, 0.000, 0.000], [0.000, 4.949, 0.000], [0.000, 0.000, 4.949]],
  "species": ["La", "Be", "Tl", "Tl", "Ga"],
  "frac_coords": [[0.500, 0.500, 0.500], [0.000, 0.000, 0.000], [0.000, 0.500, 0.000], [0.000, 0.000, 0.500], [0.500, 0.000, 0.000]],
  "ef_mev_per_atom": -105,
  "volume_a3_per_fu": 113.62,
  "mass_density_g_cm3": 9.2
}

---

(5)
{
  "formula": "SrFe2RuN",
  "functional": "meta-GGA SCAN",
  "state": "single point on PBEsol structure",
  "lattice_angstrom": [[3.787, 0.000, 0.000], [0.000, 4.810, 0.000], [0.000, 0.000, 4.810]],
  "species": ["Ru", "Sr", "N", "Fe", "Fe"],
  "frac_coords": [[0.000, 0.000, 0.000], [0.500, 0.500, 0.500], [0.500, 0.000, 0.000], [0.000, 0.000, 0.500], [0.000, 0.500, 0.000]],
  "formation_energy_uncorrected_mev_per_atom": 612,
  "volume_a3_per_fu": 87.62,
  "mass_density_g_cm3": 6.0
}

---

(6)
{
  "formula": "InPRuW2",
  "functional": "meta-GGA SCAN",
  "state": "single point on PBEsol structure",
  "lattice_angstrom": [[4.658, 0.000, 0.000], [0.000, 4.658, 0.000], [0.000, 0.000, 4.898]],
  "species": ["W", "W", "P", "Ru", "In"],
  "frac_coords": [[0.000, 0.500, 0.000], [0.500, 0.000, 0.000], [0.500, 0.500, 0.500], [0.000, 0.000, 0.000], [0.000, 0.000, 0.500]],
  "ef_mev_per_atom": 1776,
  "volume_a3_per_fu": 106.29,
  "mass_density_g_cm3": 9.6
}

---

(7)
{
  "formula": "FeRu2Pt",
  "functional": "meta-GGA SCAN",
  "state": "single point on PBEsol structure",
  "lattice_angstrom": [[2.632, 0.000, 0.000], [0.000, 3.719, 0.000], [0.000, 0.000, 5.294]],
  "species": ["Ru", "Ru", "Pt", "Fe"],
  "frac_coords": [[0.000, 0.000, 0.769], [0.000, 0.000, 0.231], [0.500, 0.500, 0.500], [0.500, 0.500, 0.000]],
  "ef_mev_per_atom": 57,
  "volume_a3_per_fu": 51.82,
  "mass_density_g_cm3": 14.5
}

---

(8)
{
  "formula": "SrMnCu2",
  "functional": "meta-GGA SCAN",
  "state": "single point on PBEsol structure",
  "lattice_angstrom": [[-1.900, 0.888, 2.484], [-2.167, -2.271, -0.845], [3.132, -4.475, 3.996]],
  "species": ["Sr", "Mn", "Cu", "Cu"],
  "frac_coords": [[0.500, 0.500, 0.500], [0.500, 0.500, 0.000], [0.000, 0.000, 0.821], [0.000, 0.000, 0.179]],
  "ef_mev_per_atom": 89,
  "volume_a3_per_fu": 71.54,
  "mass_density_g_cm3": 6.3
}